Density functional theory data (PBE) for a relaxed NaTlTeF6 crystal.

It has space group P-31c (No. 163), with a = 6.0671 Å, b = 6.0671 Å, c = 11.4065 Å, α = 90.00°, β = 90.00° and γ = 120.00°. Symmetry generates all atoms from Na at (0.3333, 0.6667, 0.2500), Tl at (0.0000, 0.0000, 0.0000), Te at (0.3333, 0.6667, 0.7500) and F at (0.0323, 0.3909, 0.6488).

Its energy relative to the elements, uncorrected is -2.235 eV per atom. As for the density of states at the Fermi level: 0.00 states/eV/atom.